[1]
Ac3CdGe4: relaxed, PBE.

Computed properties:
* DFT formation energy: -0.545 eV per atom
* DOS(E_F): 3.99 states/eV/f.u.
* total energy: -4.509 eV/atom
* space group: Immm

extended XYZ file:
```
8
Lattice="-2.373 3.141 8.190 2.373 -3.141 8.190 2.373 3.141 -8.190" Properties=species:S:1:pos:R:3 pbc="T T T"
Ac 0.000 0.000 0.000
Ac 2.373 0.000 5.119
Ac 0.000 3.141 3.071
Cd 0.000 0.000 8.190
Ge 2.373 1.236 -2.066
Ge 2.373 1.236 2.066
Ge 0.000 1.906 6.124
Ge 0.000 1.906 10.256
```

[2]
Mg3HgPb4: relaxed, PBE.

Computed properties:
* DFT formation energy: -0.017 eV per atom
* DOS(E_F): 3.11 states/eV/f.u.
* total energy: -2.507 eV/atom
* space group: Pmm2

extended XYZ file:
```
8
Lattice="3.563 0.000 0.000 0.000 5.094 0.000 0.000 0.000 11.937" Properties=species:S:1:pos:R:3 pbc="T T T"
Mg 0.000 0.000 0.000
Mg 0.000 2.547 1.822
Mg 1.781 0.000 6.036
Hg 1.781 2.547 7.714
Pb 0.000 0.000 8.838
Pb 0.000 2.547 4.895
Pb 1.781 0.000 2.783
Pb 1.781 2.547 11.012
```